First-principles (PBE) data for a geometry-optimized BaSr3Pt structure, as listed in Alexandria via LeMat-Bulk.

```
data_BaSr3Pt
_chemical_formula_sum 'Ba1 Sr3 Pt1'
_cell_length_a 6.101
_cell_length_b 6.101
_cell_length_c 6.101
_cell_angle_alpha 90.00
_cell_angle_beta 90.00
_cell_angle_gamma 90.00
_space_group_name_H-M_alt 'P m -3 m'
_space_group_IT_number 221
_space_group_name_Hall '-P 4 2 3'
loop_
_atom_site_label
_atom_site_type_symbol
_atom_site_fract_x
_atom_site_fract_y
_atom_site_fract_z
Ba1 Ba 0.000 0.000 0.000
Sr1 Sr 0.000 0.500 0.500
Pt1 Pt 0.500 0.500 0.500
```

## Properties
total moment = 0.0 Bohr magnetons per cell
crystal system = cubic
E_form = -0.4187 eV/atom

***

First-principles (PBE) data for a geometry-optimized RbNa2AsBr6 structure, as listed in Alexandria via LeMat-Bulk.

```
data_RbNa2AsBr6
_chemical_formula_sum 'Rb3 Na6 As3 Br18'
_cell_length_a 7.5675
_cell_length_b 7.5675
_cell_length_c 20.6758
_cell_angle_alpha 90.00
_cell_angle_beta 90.00
_cell_angle_gamma 120.00
_space_group_name_H-M_alt 'R 3'
_space_group_IT_number 146
_space_group_name_Hall 'R 3'
loop_
_atom_site_label
_atom_site_type_symbol
_atom_site_fract_x
_atom_site_fract_y
_atom_site_fract_z
Rb1 Rb 0.0000 0.0000 0.0000
Na1 Na 0.0000 0.0000 0.2804
Na2 Na 0.0000 0.0000 0.8066
As1 As 0.0000 0.0000 0.4745
Br1 Br 0.0020 0.3051 0.5480
Br2 Br 0.0339 0.6096 0.0625
```

## Properties
total moment = 0.0 Bohr magnetons per cell
energy relative to the elements, uncorrected = -1.118 eV/atom
crystal system = trigonal

***

First-principles (PBE) data for a geometry-optimized CsTeWN2 structure, as listed in Alexandria via LeMat-Bulk.

```
data_CsTeWN2
_chemical_formula_sum 'Cs1 Te1 W1 N2'
_cell_length_a 4.337
_cell_length_b 4.337
_cell_length_c 7.782
_cell_angle_alpha 90.00
_cell_angle_beta 90.00
_cell_angle_gamma 90.00
_space_group_name_H-M_alt 'P 4/m m m'
_space_group_IT_number 123
_space_group_name_Hall '-P 4 2'
loop_
_atom_site_label
_atom_site_type_symbol
_atom_site_fract_x
_atom_site_fract_y
_atom_site_fract_z
Cs1 Cs 0.000 0.000 0.000
Te1 Te 0.000 0.000 0.500
W1 W 0.500 0.500 0.500
N1 N 0.000 0.500 0.000
```

## Properties
total moment = 6.0 Bohr magnetons per cell
energy relative to the elements, uncorrected = 2.954 eV/atom
crystal system = tetragonal

***

First-principles (PBE) data for a geometry-optimized K4TlCu3Br12 structure, as listed in Alexandria via LeMat-Bulk.

```
data_K4TlCu3Br12
_chemical_formula_sum 'K8 Tl2 Cu6 Br24'
_cell_length_a 10.649
_cell_length_b 10.649
_cell_length_c 10.649
_cell_angle_alpha 90.00
_cell_angle_beta 90.00
_cell_angle_gamma 90.00
_space_group_name_H-M_alt 'I m -3 m'
_space_group_IT_number 229
_space_group_name_Hall '-I 4 2 3'
loop_
_atom_site_label
_atom_site_type_symbol
_atom_site_fract_x
_atom_site_fract_y
_atom_site_fract_z
K1 K 0.250 0.250 0.250
Tl1 Tl 0.000 0.000 0.000
Cu1 Cu 0.000 0.000 0.500
Br1 Br 0.000 0.000 0.267
Br2 Br 0.000 0.250 0.500
```

## Properties
total moment = 0.0 Bohr magnetons per cell
energy relative to the elements, uncorrected = -0.871 eV/atom
crystal system = cubic

***

First-principles (PBE) data for a geometry-optimized ThSbPtSe structure, as listed in Alexandria via LeMat-Bulk.

```
data_ThSbPtSe
_chemical_formula_sum 'Th6 Sb6 Pt6 Se6'
_cell_length_a 4.5956
_cell_length_b 4.5956
_cell_length_c 34.0139
_cell_angle_alpha 90.00
_cell_angle_beta 90.00
_cell_angle_gamma 120.00
_space_group_name_H-M_alt 'R -3 m'
_space_group_IT_number 166
_space_group_name_Hall '-R 3 2"'
loop_
_atom_site_label
_atom_site_type_symbol
_atom_site_fract_x
_atom_site_fract_y
_atom_site_fract_z
Th1 Th 0.0000 0.0000 0.1006
Sb1 Sb 0.0000 0.0000 0.2983
Pt1 Pt 0.0000 0.0000 0.3819
Se1 Se 0.0000 0.0000 0.1953
```

## Properties
total moment = 0.0 Bohr magnetons per cell
energy relative to the elements, uncorrected = -1.113 eV/atom
crystal system = trigonal

***

First-principles (PBE) data for a geometry-optimized ScBiC2 structure, as listed in Alexandria via LeMat-Bulk.

```
data_ScBiC2
_chemical_formula_sum 'Sc4 Bi4 C8'
_cell_length_a 5.310
_cell_length_b 5.310
_cell_length_c 10.180
_cell_angle_alpha 90.00
_cell_angle_beta 90.00
_cell_angle_gamma 90.00
_space_group_name_H-M_alt 'I -4 2 d'
_space_group_IT_number 122
_space_group_name_Hall 'I -4 2bw'
loop_
_atom_site_label
_atom_site_type_symbol
_atom_site_fract_x
_atom_site_fract_y
_atom_site_fract_z
Sc1 Sc 0.000 0.000 0.000
Bi1 Bi 0.000 0.000 0.500
C1 C 0.241 0.250 0.125
```

## Properties
total moment = 0.0 Bohr magnetons per cell
crystal system = tetragonal
E_form = 0.8080 eV/atom